# Fe2CoOsO6

A relaxed Fe2CoOsO6 crystal (PBE with a Hubbard U, the Alexandria database).

The structure belongs to space group P2_1/c (No. 14); the cell edges are 5.1806, 5.0883 and 9.8246 Å and the angles 90.00°, 120.88° and 90.00°. The distinct sites, in fractional coordinates, are Fe at (0.2024, 0.0116, 0.2076), Co at (0.0000, 0.0000, 0.5000), Os at (0.5000, 0.0000, 0.0000), O at (0.1458, 0.1817, 0.9808), O at (0.1687, 0.7366, 0.8554) and O at (0.4951, 0.2008, 0.8252).

The total energy is -6.829 eV/atom. As for the density of states at the Fermi level: 4.50 states/eV/cell.